[1]
First-principles (PBE-GGA) data for a relaxed structure of LuMgBiOs, as listed in OQMD via LeMat-Bulk.

- total energy (eV per atom) = -5.25
- energy relative to the lowest polymorph listed for this composition (eV/atom) = 0.000

abc: 4.863 4.863 4.863
angles: 60.00 60.00 60.00
Sites, in units of the cell vectors:
Lu  0.000  0.000  0.000
Mg  0.750  0.750  0.750
Bi  0.500  0.500  0.500
Os  0.250  0.250  0.250

[2]
First-principles (PBE-GGA) data for a relaxed structure of Dy2I2NCl, as listed in OQMD via LeMat-Bulk.

- total energy (eV per atom) = -5.44

abc: 9.164 9.164 11.467
angles: 121.26 121.26 24.89
Sites, in units of the cell vectors:
Dy  0.078  0.078  0.463
Dy  0.373  0.373  0.224
Dy  0.627  0.627  0.776
Dy  0.922  0.922  0.537
I  0.164  0.164  0.025
I  0.444  0.444  0.763
I  0.556  0.556  0.237
I  0.836  0.836  0.975
N  0.069  0.069  0.652
N  0.931  0.931  0.348
Cl  0.301  0.301  0.392
Cl  0.699  0.699  0.608

[3]
First-principles (PBE-GGA) data for a relaxed structure of La2Zn3Ge6, as listed in OQMD via LeMat-Bulk.

- total energy (eV per atom) = -4.21

abc: 12.872 12.872 6.011
angles: 90.00 90.00 152.96
Sites, in units of the cell vectors:
La  0.106  0.894  0.750
La  0.394  0.606  0.750
La  0.606  0.394  0.250
La  0.894  0.106  0.250
Zn  0.161  0.839  0.250
Zn  0.261  0.261  0.000
Zn  0.261  0.261  0.500
Zn  0.739  0.739  0.000
Zn  0.739  0.739  0.500
Zn  0.839  0.161  0.750
Ge  0.059  0.941  0.250
Ge  0.084  0.487  0.035
Ge  0.084  0.487  0.465
Ge  0.433  0.567  0.250
Ge  0.487  0.084  0.535
Ge  0.487  0.084  0.965
Ge  0.513  0.916  0.035
Ge  0.513  0.916  0.465
Ge  0.567  0.433  0.750
Ge  0.916  0.513  0.535
Ge  0.916  0.513  0.965
Ge  0.941  0.059  0.750

[4]
First-principles (PBE-GGA) data for a relaxed structure of ZrBeGeOs, as listed in OQMD via LeMat-Bulk.

- total energy (eV per atom) = -7.13
- energy relative to the lowest polymorph listed for this composition (eV/atom) = 0.053

abc: 4.398 4.398 4.398
angles: 60.00 60.00 60.00
Sites, in units of the cell vectors:
Zr  0.000  0.000  0.000
Be  0.250  0.250  0.250
Ge  0.500  0.500  0.500
Os  0.750  0.750  0.750